This record from the Alexandria database describes YGa2Ge after structural relaxation. The functional is PBE.

## Properties
- VASP energy (eV per atom) = -4.565
- mass density (Mg/m³) = 5.87

Lattice parameters (Å, degrees): 5.599 5.599 5.599 46.79 46.79 46.79
Sites, in units of the cell vectors:
1 Y 0.000 0.000 0.000
2 Ga 0.220 0.220 0.220
3 Ga 0.780 0.780 0.780
4 Ge 0.500 0.500 0.500